1.
A plane-wave DFT calculation with PBE-GGA was carried out for a relaxed LiPCl4 crystal.

Lattice parameters (Å, degrees): 6.685 6.685 6.685 125.28 125.28 81.07
Fractional coordinates of all 6 atoms:
Li1 0.000 0.000 0.000
P1 0.750 0.250 0.500
Cl1 0.079 0.611 0.943
Cl2 0.389 0.332 0.468
Cl3 0.668 0.136 0.057
Cl4 0.864 0.921 0.532

Computed properties:
V: 31.968 Å³ per atom
formation energy without anion corrections: -0.807 eV/atom
M_tot: 0.00 μB/atom
density of states at the Fermi level: 0.00 states/eV/f.u.
offset from the most stable computed form: 0 meV/atom
SG: I-4 (82)



2.
A plane-wave DFT calculation with PBE-GGA was carried out for a relaxed LiPCl crystal.

Lattice parameters (Å, degrees): 4.400 4.400 3.167 90.00 90.00 120.00
Fractional coordinates of all 3 atoms:
Li1 0.000 0.000 0.000
P1 0.333 0.667 0.500
Cl1 0.667 0.333 0.000

Computed properties:
V: 17.705 Å³ per atom
formation energy without anion corrections: 0.135 eV/atom
M_tot: 0.04 μB/atom
density of states at the Fermi level: 2.12 states/eV/f.u.
offset from the most stable computed form: 1187 meV/atom
SG: P-6m2 (187)



3.
A plane-wave DFT calculation with PBE-GGA was carried out for a relaxed LiPCl crystal.

Lattice parameters (Å, degrees): 10.633 10.633 10.633 19.10 19.10 19.10
Fractional coordinates of all 6 atoms:
Li1 0.000 0.000 0.000
Li2 0.232 0.232 0.232
P1 0.117 0.117 0.117
P2 0.822 0.822 0.822
Cl1 0.367 0.367 0.367
Cl2 0.599 0.599 0.599

Computed properties:
V: 18.750 Å³ per atom
formation energy without anion corrections: -1.024 eV/atom
M_tot: 0.00 μB/atom
offset from the most stable computed form: 27 meV/atom
SG: R3m (160)



4.
A plane-wave DFT calculation with PBE-GGA was carried out for a relaxed LiPCl crystal.

Lattice parameters (Å, degrees): 4.315 4.315 4.315 60.00 60.00 60.00
Fractional coordinates of all 3 atoms:
Li1 0.000 0.000 0.000
P1 0.750 0.750 0.750
Cl1 0.250 0.250 0.250

Computed properties:
V: 18.937 Å³ per atom
formation energy without anion corrections: 0.191 eV/atom
M_tot: 0.00 μB/atom
density of states at the Fermi level: 2.66 states/eV/f.u.
offset from the most stable computed form: 1243 meV/atom
SG: F-43m (216)